{
  "formula": "YHf2VRu",
  "functional": "GGA-PBE",
  "state": "relaxed",
  "dos_ef_per_ev_fu": 3.65,
  "final_energy_ev_per_atom": -8.532,
  "formation_energy_mev_per_atom": 421,
  "magmom_total_mub_per_fu": 0.00,
  "space_group": "P4/mmm (123)",
  "lattice_angstrom": [[4.928, 0.000, 0.000], [0.000, 4.928, 0.000], [0.000, 0.000, 4.537]],
  "species": ["Y", "Hf", "Hf", "V", "Ru"],
  "fractional_positions": [[0.000, 0.000, 0.000], [0.000, 0.500, 0.500], [0.500, 0.000, 0.500], [0.500, 0.500, 0.500], [0.500, 0.500, 0.000]]
}

---

{
  "formula": "TeP3",
  "functional": "GGA-PBE",
  "state": "relaxed",
  "dos_ef_per_ev_fu": 0.80,
  "final_energy_ev_per_atom": -4.461,
  "magmom_total_mub_per_fu": 0.00,
  "space_group": "P1 (1)",
  "e_form_raw_kj_per_mol_atoms": 37,
  "lattice_angstrom": [[4.890, 0.000, 0.000], [-2.290, 5.359, 0.000], [-0.166, -3.197, 4.922]],
  "species": ["Te", "P", "P", "P"],
  "fractional_positions": [[0.000, 0.000, 0.000], [0.233, 0.575, 0.325], [0.438, 0.454, 0.975], [0.901, 0.489, 0.993]]
}

---

{
  "formula": "SmHoGeRu",
  "functional": "GGA-PBE",
  "state": "relaxed",
  "dos_ef_per_ev_fu": 2.44,
  "final_energy_ev_per_atom": -6.228,
  "formation_energy_mev_per_atom": -431,
  "magmom_total_mub_per_fu": 0.00,
  "space_group": "F-43m (216)",
  "lattice_angstrom": [[0.000, 3.516, 3.516], [3.516, 0.000, 3.516], [3.516, 3.516, 0.000]],
  "species": ["Sm", "Ho", "Ge", "Ru"],
  "fractional_positions": [[0.000, 0.000, 0.000], [0.500, 0.500, 0.500], [0.250, 0.250, 0.250], [0.750, 0.750, 0.750]]
}

---

{
  "formula": "CsHf2I",
  "functional": "GGA-PBE",
  "state": "relaxed",
  "dos_ef_per_ev_fu": 3.83,
  "final_energy_ev_per_atom": -4.686,
  "magmom_total_mub_per_fu": 0.00,
  "space_group": "I-42d (122)",
  "e_form_raw_kj_per_mol_atoms": 86,
  "lattice_angstrom": [[-2.523, 2.523, 11.166], [2.523, -2.523, 11.166], [2.523, 2.523, -11.166]],
  "species": ["Cs", "Cs", "Hf", "Hf", "Hf", "Hf", "I", "I"],
  "fractional_positions": [[0.000, 0.000, 0.000], [0.750, 0.250, 0.500], [0.265, 0.625, 0.140], [0.375, 0.515, 0.640], [0.485, 0.125, 0.860], [0.875, 0.735, 0.360], [0.250, 0.750, 0.500], [0.500, 0.500, 0.000]]
}

---

Please write out number 4 again, unchanged.
{
  "formula": "CsHf2I",
  "functional": "GGA-PBE",
  "state": "relaxed",
  "dos_ef_per_ev_fu": 3.83,
  "final_energy_ev_per_atom": -4.686,
  "magmom_total_mub_per_fu": 0.00,
  "space_group": "I-42d (122)",
  "e_form_raw_kj_per_mol_atoms": 86,
  "lattice_angstrom": [[-2.523, 2.523, 11.166], [2.523, -2.523, 11.166], [2.523, 2.523, -11.166]],
  "species": ["Cs", "Cs", "Hf", "Hf", "Hf", "Hf", "I", "I"],
  "fractional_positions": [[0.000, 0.000, 0.000], [0.750, 0.250, 0.500], [0.265, 0.625, 0.140], [0.375, 0.515, 0.640], [0.485, 0.125, 0.860], [0.875, 0.735, 0.360], [0.250, 0.750, 0.500], [0.500, 0.500, 0.000]]
}